--- w ---
Here is a relaxed structure of Cu3Au8 from Alexandria via LeMat-Bulk. Energies are from PBE.

Output
Space group: C2/m (12)

POSCAR file:
```
Cu3Au8
1.0
4.5697 -1.9556 0.0000
4.5697 1.9556 0.0000
-2.9447 0.0000 10.2311
Cu Au
3 8
Cartesian
0.0000 0.0000 0.0000 Cu
-1.0370 0.0000 6.4726 Cu
7.2317 0.0000 3.7585 Cu
0.9137 0.0000 2.8280 Au
-0.1328 0.0000 9.3306 Au
1.7769 0.0000 5.5776 Au
3.6194 0.0000 1.8797 Au
2.5753 0.0000 8.3514 Au
4.4177 0.0000 4.6535 Au
6.3275 0.0000 0.9005 Au
5.2810 0.0000 7.4031 Au
```

***

--- x ---
Here is a relaxed structure of Cu3Au8 from Alexandria via LeMat-Bulk. Energies are from PBE.

Output
Space group: R-3 (148)

POSCAR file:
```
Cu3Au8
1.0
4.4653 2.5780 3.0168
-4.4653 2.5780 3.0168
0.0000 -5.1561 3.0168
Cu Au
3 8
Cartesian
-2.2326 -1.2890 3.0168 Cu
-2.2326 1.2890 6.0337 Cu
0.0000 2.5780 3.0168 Cu
-3.5013 0.7526 3.9209 Au
-2.4024 -2.6560 5.1297 Au
1.0989 -3.4085 3.9209 Au
0.0000 0.0000 3.0837 Au
0.0000 0.0000 5.9669 Au
-1.0989 3.4085 5.1297 Au
2.4024 2.6560 3.9209 Au
3.5013 -0.7525 5.1297 Au
```

***

Compare the structures above. Which one is the least stable? x is.